[1]
Below is crystalline Sc3Zn8Ag at its relaxed geometry, with properties calculated at the PBE level.

- Magnetic moment: 0.00 μB/f.u.
- Energy of formation: -3.46 eV/f.u.
- Crystal system: trigonal
- ρ: 6.4 g/cm3

a b c (Å): 5.210 5.210 8.474
angles (deg): 90.00 90.00 120.00
Fractional coordinates of all 12 atoms:
Sc: 0.667 0.333 0.441
Sc: 0.667 0.333 0.064
Sc: 0.000 0.000 0.935
Zn: 0.333 0.667 0.499
Zn: 0.333 0.667 0.995
Zn: 0.504 0.008 0.751
Zn: 0.504 0.496 0.751
Zn: 0.992 0.496 0.751
Zn: 0.163 0.326 0.249
Zn: 0.163 0.837 0.249
Zn: 0.674 0.837 0.249
Ag: 0.000 0.000 0.566

=====

[2]
Below is crystalline Sc3Zn8Ag at its relaxed geometry, with properties calculated at the PBE level.

- Magnetic moment: 0.00 μB/f.u.
- Energy of formation: -3.40 eV/f.u.
- Crystal system: trigonal
- ρ: 6.4 g/cm3

a b c (Å): 5.205 5.205 9.027
angles (deg): 73.24 73.24 60.00
Fractional coordinates of all 12 atoms:
Sc: 0.377 0.377 0.870
Sc: 0.997 0.997 0.009
Sc: 0.501 0.501 0.497
Zn: 0.937 0.438 0.186
Zn: 0.436 0.938 0.688
Zn: 0.438 0.438 0.186
Zn: 0.938 0.938 0.688
Zn: 0.188 0.188 0.437
Zn: 0.687 0.687 0.938
Zn: 0.438 0.937 0.186
Zn: 0.938 0.436 0.688
Ag: 0.874 0.874 0.377

=====

no.,distance to the lowest polymorph of the same formula (meV/atom)
1,0
2,5